# 1
Compound: Tb3Sm4Ho4
Source: the Alexandria database
Functional: PBE-GGA
Structure: relaxed

Output
polymorph energy (0 for the lowest one): 0 meV per atom
energy of formation from the pure elements: 0.152 eV/atom

Unit cell a=10.577 b=6.659 c=6.659 alpha=50.45 beta=90.00 gamma=90.00
Sites, in units of the cell vectors:
Tb: 0.000 0.000 0.000
Tb: 0.291 0.155 0.155
Tb: 0.709 0.155 0.155
Sm: 0.000 0.706 0.706
Sm: 0.208 0.500 0.500
Sm: 0.500 0.630 0.630
Sm: 0.792 0.500 0.500
Ho: 0.000 0.298 0.298
Ho: 0.300 0.849 0.849
Ho: 0.500 0.359 0.359
Ho: 0.700 0.849 0.849

# 2
Compound: Li14Ti21O48
Source: the Alexandria database
Functional: PBE-GGA
Structure: relaxed

Output
formation energy (no corrections): -2.817 eV per atom

Unit cell a=5.967 b=5.967 c=29.251 alpha=90.05 beta=90.05 gamma=60.02
Sites, in units of the cell vectors:
Li: 0.000 0.000 0.000
Li: 0.000 0.000 0.122
Li: 0.002 0.002 0.311
Li: 0.002 0.002 0.625
Li: 0.328 0.328 0.977
Li: 0.331 0.331 0.666
Li: 0.333 0.333 0.167
Li: 0.333 0.333 0.289
Li: 0.336 0.336 0.789
Li: 0.661 0.661 0.830
Li: 0.666 0.666 0.334
Li: 0.668 0.668 0.456
Li: 0.668 0.668 0.954
Li: 0.834 0.834 0.728
Ti: 0.006 0.496 0.059
Ti: 0.161 0.161 0.394
Ti: 0.162 0.674 0.392
Ti: 0.168 0.662 0.898
Ti: 0.169 0.169 0.892
Ti: 0.326 0.837 0.229
Ti: 0.332 0.834 0.728
Ti: 0.339 0.339 0.478
Ti: 0.495 0.998 0.559
Ti: 0.496 0.006 0.059
Ti: 0.496 0.496 0.059
Ti: 0.497 0.497 0.563
Ti: 0.662 0.168 0.898
Ti: 0.666 0.666 0.144
Ti: 0.674 0.162 0.392
Ti: 0.678 0.678 0.648
Ti: 0.834 0.332 0.728
Ti: 0.836 0.836 0.229
Ti: 0.837 0.326 0.229
Ti: 0.986 0.986 0.808
Ti: 0.998 0.495 0.559
O: 0.000 0.000 0.191
O: 0.000 0.000 0.931
O: 0.011 0.011 0.693
O: 0.025 0.490 0.929
O: 0.039 0.481 0.434
O: 0.151 0.151 0.768
O: 0.155 0.155 0.263
O: 0.155 0.690 0.263
O: 0.165 0.703 0.770
O: 0.178 0.178 0.026
O: 0.178 0.642 0.026
O: 0.186 0.186 0.522
O: 0.186 0.623 0.522
O: 0.295 0.855 0.856
O: 0.311 0.844 0.359
O: 0.331 0.331 0.597
O: 0.333 0.333 0.097
O: 0.333 0.333 0.359
O: 0.335 0.335 0.859
O: 0.366 0.814 0.599
O: 0.371 0.814 0.101
O: 0.481 0.039 0.434
O: 0.482 0.482 0.434
O: 0.489 0.489 0.930
O: 0.490 0.025 0.929
O: 0.503 0.964 0.685
O: 0.516 0.516 0.687
O: 0.518 0.518 0.187
O: 0.519 0.962 0.187
O: 0.623 0.186 0.522
O: 0.642 0.178 0.026
O: 0.656 0.656 0.762
O: 0.665 0.665 0.525
O: 0.666 0.666 0.025
O: 0.666 0.666 0.263
O: 0.690 0.155 0.263
O: 0.703 0.165 0.770
O: 0.814 0.366 0.599
O: 0.814 0.371 0.101
O: 0.814 0.814 0.101
O: 0.815 0.815 0.600
O: 0.844 0.311 0.359
O: 0.844 0.844 0.359
O: 0.851 0.851 0.855
O: 0.855 0.295 0.856
O: 0.962 0.519 0.187
O: 0.964 0.503 0.685
O: 0.999 0.999 0.428

# 3
Compound: LaIn3Pt3
Source: the Alexandria database
Functional: PBE-GGA
Structure: relaxed

Output
polymorph energy (0 for the lowest one): 480 meV per atom
energy of formation from the pure elements: -0.183 eV/atom

Unit cell a=7.326 b=7.326 c=7.326 alpha=90.00 beta=90.00 gamma=90.00
Sites, in units of the cell vectors:
La: 0.000 0.000 0.000
La: 0.500 0.500 0.500
In: 0.000 0.250 0.500
In: 0.000 0.750 0.500
In: 0.250 0.500 0.000
In: 0.500 0.000 0.250
In: 0.500 0.000 0.750
In: 0.750 0.500 0.000
Pt: 0.000 0.500 0.250
Pt: 0.000 0.500 0.750
Pt: 0.250 0.000 0.500
Pt: 0.500 0.250 0.000
Pt: 0.500 0.750 0.000
Pt: 0.750 0.000 0.500

# 4
Compound: Hf4GaAu
Source: the Alexandria database
Functional: PBE-GGA
Structure: relaxed

Output
polymorph energy (0 for the lowest one): 0 meV per atom
energy of formation from the pure elements: -0.336 eV/atom

Unit cell a=6.734 b=6.734 c=5.373 alpha=90.00 beta=90.00 gamma=90.00
Sites, in units of the cell vectors:
Hf: 0.151 0.341 0.000
Hf: 0.151 0.659 0.500
Hf: 0.341 0.151 0.500
Hf: 0.341 0.849 0.000
Hf: 0.659 0.151 0.000
Hf: 0.659 0.849 0.500
Hf: 0.849 0.341 0.500
Hf: 0.849 0.659 0.000
Ga: 0.000 0.000 0.250
Ga: 0.000 0.000 0.750
Au: 0.500 0.500 0.250
Au: 0.500 0.500 0.750

Number 1: DOS at the Fermi energy 17.3 states/eV per cell. Number 2: DOS at the Fermi energy 11.9 states/eV per cell. Number 3: DOS at the Fermi energy 14.7 states/eV per cell. Number 4: DOS at the Fermi energy 13.6 states/eV per cell.